6
Lattice="-2.8516 3.1924 5.0448 2.8516 -3.1924 5.0448 2.8516 3.1924 -5.0448" Properties=species:S:1:pos:R:3 comment="Dy2Er3In | Alexandria via LeMat-Bulk | PBE-GGA | optimized geometry" formation_energy_kj_per_mol_atoms=22.1 e_above_lowest_polymorph_mev_per_atom=390.0 dft_energy_ev_per_atom=-4.04 pbc="T T T"
Dy 0.0000 0.0000 1.8472
Dy 0.0000 0.0000 8.2425
Er 2.8516 0.0000 0.0000
Er 2.8516 0.0000 3.4715
Er 0.0000 3.1924 1.5734
In 0.0000 0.0000 5.0448

4
Lattice="1.6339 0.9433 9.7884 -1.6339 0.9433 9.7884 0.0000 -1.8867 9.7884" Properties=species:S:1:pos:R:3 comment="AsOsPb2 | Alexandria via LeMat-Bulk | PBE-GGA | optimized geometry" formation_energy_kj_per_mol_atoms=72.3 dft_energy_ev_per_atom=-5.07 pbc="T T T"
As 0.0000 0.0000 0.0000
Os 0.0000 0.0000 14.6826
Pb 0.0000 0.0000 7.0569
Pb 0.0000 0.0000 22.3082

12
Lattice="6.1715 -2.9087 0.0000 6.1715 2.9087 0.0000 -5.9262 0.0000 9.1759" Properties=species:S:1:pos:R:3 comment="TmMg7Pb4 | Alexandria via LeMat-Bulk | PBE-GGA | optimized geometry" formation_energy_kj_per_mol_atoms=10.8 dft_energy_ev_per_atom=-2.43 pbc="T T T"
Tm 0.0000 0.0000 0.0000
Mg -1.3865 0.0000 4.0252
Mg 1.5891 0.0000 3.2532
Mg 3.2525 0.0000 0.8231
Mg 6.1715 0.0000 0.0000
Mg 3.1643 0.0000 8.3527
Mg 4.8277 0.0000 5.9226
Mg 7.8033 0.0000 5.1507
Pb -2.2095 0.0000 7.0895
Pb 1.0053 0.0000 6.2557
Pb 5.4115 0.0000 2.9202
Pb 8.6263 0.0000 2.0863

4
Lattice="3.1554 0.0000 0.0000 0.0000 3.7004 0.0000 0.0000 0.0000 8.3576" Properties=species:S:1:pos:R:3 comment="InSb2Pt | Alexandria via LeMat-Bulk | PBE-GGA | optimized geometry" e_form_raw_ev_per_atom=-0.06 dft_energy_ev_per_atom=-4.32 pbc="T T T"
In 0.0000 0.0000 0.0000
Sb 1.5777 1.8502 2.5458
Sb 1.5777 1.8502 5.8118
Pt 0.0000 0.0000 4.1788